(1)
PmZnCd11 | PBE-GGA | relaxed

Lattice parameters (Å, degrees): 5.929 13.980 7.553 90.00 112.45 90.00
Space group C2/m (No. 12)
Symmetry-distinct sites (fractional):
Pm 0.000 0.000 0.000 x2
Zn 0.000 0.500 0.500 x2
Cd 0.000 0.000 0.500 x2
Cd 0.099 0.395 0.217 x8
Cd 0.183 0.173 0.354 x8
Cd 0.250 0.250 0.000 x4

Computed properties:
uncorrected energy = -1.348 eV per atom
D(E_F) = 1.53 states/eV/f.u.
formation energy from the elements = -110 meV/atom

(2)
PmZn2Cd3 | PBE-GGA | relaxed

Lattice parameters (Å, degrees): 16.911 4.471 7.852 90.00 117.26 90.00
Space group C2/m (No. 12)
Symmetry-distinct sites (fractional):
Pm 0.138 0.000 0.210 x4
Zn 0.014 0.500 0.864 x4
Zn 0.218 0.000 0.681 x4
Cd 0.047 0.000 0.708 x4
Cd 0.119 0.500 0.501 x4
Cd 0.186 0.500 0.924 x4

Computed properties:
uncorrected energy = -1.887 eV per atom
D(E_F) = 3.03 states/eV/f.u.
formation energy from the elements = -213 meV/atom

(3)
Pm2Zn4Cd3 | PBE-GGA | relaxed

Lattice parameters (Å, degrees): 6.102 16.597 7.699 90.00 90.00 90.00
Space group Cmce (No. 64)
Symmetry-distinct sites (fractional):
Pm 0.000 0.102 0.097 x8
Zn 0.000 0.165 0.485 x8
Zn 0.250 0.067 0.750 x8
Cd 0.000 0.000 0.500 x4
Cd 0.250 0.235 0.750 x8

Computed properties:
uncorrected energy = -2.147 eV per atom
D(E_F) = 6.60 states/eV/f.u.
formation energy from the elements = -220 meV/atom

(4)
Pm2Zn5Cd | PBE-GGA | relaxed

Lattice parameters (Å, degrees): 7.654 9.427 6.058 90.00 128.99 90.00
Space group Cm (No. 8)
Symmetry-distinct sites (fractional):
Pm 0.000 0.250 0.000 x4
Zn 0.002 0.198 0.500 x4
Zn 0.200 0.000 0.896 x2
Zn 0.223 0.500 0.500 x2
Zn 0.303 0.500 0.103 x2
Cd 0.352 0.000 0.499 x2

Computed properties:
uncorrected energy = -2.314 eV per atom
D(E_F) = 5.61 states/eV/f.u.
formation energy from the elements = -215 meV/atom

(5)
Pm2ZnCd | PBE-GGA | relaxed

Lattice parameters (Å, degrees): 3.711 3.711 7.610 90.00 90.00 90.00
Space group P4/mmm (No. 123)
Symmetry-distinct sites (fractional):
Pm 0.000 0.000 0.230 x2
Zn 0.500 0.500 0.000 x1
Cd 0.500 0.500 0.500 x1

Computed properties:
uncorrected energy = -3.246 eV per atom
D(E_F) = 4.22 states/eV/f.u.
formation energy from the elements = -323 meV/atom

(6)
Pm2Zn10Cd | PBE-GGA | relaxed

Lattice parameters (Å, degrees): 5.507 6.083 15.579 90.00 110.30 90.00
Space group P2_1/c (No. 14)
Symmetry-distinct sites (fractional):
Pm 0.081 0.223 0.082 x4
Zn 0.092 0.220 0.366 x4
Zn 0.251 0.026 0.756 x4
Zn 0.300 0.604 0.799 x4
Zn 0.363 0.721 0.136 x4
Zn 0.421 0.534 0.421 x4
Cd 0.500 0.000 0.500 x2

Computed properties:
uncorrected energy = -1.942 eV per atom
D(E_F) = 5.74 states/eV/f.u.
formation energy from the elements = -161 meV/atom

(7)
Pm2ZnCd3 | PBE-GGA | relaxed

Lattice parameters (Å, degrees): 3.465 4.974 8.555 90.00 90.00 90.00
Space group Pmm2 (No. 25)
Symmetry-distinct sites (fractional):
Pm 0.000 0.000 0.000 x1
Pm 0.000 0.500 0.484 x1
Zn 0.500 0.000 0.325 x1
Cd 0.500 0.000 0.651 x1
Cd 0.500 0.500 0.163 x1
Cd 0.500 0.500 0.823 x1

Computed properties:
uncorrected energy = -2.581 eV per atom
D(E_F) = 4.96 states/eV/f.u.
formation energy from the elements = -328 meV/atom

(8)
PmZn6Cd6 | PBE-GGA | relaxed

Lattice parameters (Å, degrees): 5.597 9.368 9.523 90.00 90.00 90.00
Space group Immm (No. 71)
Symmetry-distinct sites (fractional):
Pm 0.000 0.000 0.000 x2
Zn 0.000 0.500 0.274 x4
Zn 0.250 0.250 0.250 x8
Cd 0.000 0.000 0.346 x4
Cd 0.000 0.301 0.500 x4
Cd 0.000 0.347 0.000 x4

Computed properties:
uncorrected energy = -1.508 eV per atom
D(E_F) = 1.92 states/eV/f.u.
formation energy from the elements = -132 meV/atom

(9)
Pm2Zn15Cd2 | PBE-GGA | relaxed

Lattice parameters (Å, degrees): 9.1637 9.1637 13.4060 90.00 90.00 120.00
Space group R-3m (No. 166, hexagonal axes)
Symmetry-distinct sites (fractional):
Pm 0.0000 0.0000 0.1587 x6
Zn 0.0000 0.2997 0.5000 x18
Zn 0.0000 0.5000 0.0000 x9
Zn 0.0131 0.5065 0.6532 x18
Cd 0.0000 0.0000 0.3953 x6

Computed properties:
uncorrected energy = -1.835 eV per atom
D(E_F) = 3.49 states/eV/f.u.
formation energy from the elements = -233 meV/atom

(10)
PmZn2Cd2 | PBE-GGA | relaxed

Lattice parameters (Å, degrees): 4.333 4.333 11.622 90.00 90.00 90.00
Space group I4/mmm (No. 139)
Symmetry-distinct sites (fractional):
Pm 0.000 0.000 0.000 x2
Zn 0.000 0.000 0.396 x4
Cd 0.000 0.500 0.250 x4

Computed properties:
uncorrected energy = -2.093 eV per atom
D(E_F) = 3.52 states/eV/f.u.
formation energy from the elements = -267 meV/atom

(11)
Pm2Zn3Cd2 | PBE-GGA | relaxed

Lattice parameters (Å, degrees): 3.550 27.755 3.232 90.00 90.00 90.00
Space group Cmmm (No. 65)
Symmetry-distinct sites (fractional):
Pm 0.000 0.123 0.000 x4
Zn 0.000 0.000 0.000 x2
Zn 0.000 0.450 0.500 x4
Cd 0.000 0.292 0.500 x4

Computed properties:
uncorrected energy = -2.313 eV per atom
D(E_F) = 4.72 states/eV/f.u.
formation energy from the elements = -148 meV/atom

(12)
PmZn4Cd | PBE-GGA | relaxed

Lattice parameters (Å, degrees): 4.260 16.795 6.590 90.00 90.00 90.00
Space group Cmcm (No. 63)
Symmetry-distinct sites (fractional):
Pm 0.000 0.111 0.250 x4
Zn 0.000 0.070 0.750 x4
Zn 0.000 0.345 0.057 x8
Zn 0.000 0.500 0.000 x4
Cd 0.000 0.235 0.750 x4

Computed properties:
uncorrected energy = -1.986 eV per atom
D(E_F) = 2.77 states/eV/f.u.
formation energy from the elements = -193 meV/atom

(13)
Pm4ZnCd | PBE-GGA | relaxed

Lattice parameters (Å, degrees): 3.690 3.690 12.853 90.00 90.00 90.00
Space group P4/mmm (No. 123)
Symmetry-distinct sites (fractional):
Pm 0.000 0.000 0.141 x2
Pm 0.500 0.500 0.340 x2
Zn 0.500 0.500 0.000 x1
Cd 0.000 0.000 0.500 x1

Computed properties:
uncorrected energy = -3.728 eV per atom
D(E_F) = 8.02 states/eV/f.u.
formation energy from the elements = -196 meV/atom

(14)
Pm3ZnCd3 | PBE-GGA | relaxed

Lattice parameters (Å, degrees): 3.559 4.927 20.925 90.00 90.00 90.00
Space group Imm2 (No. 44)
Symmetry-distinct sites (fractional):
Pm 0.000 0.000 0.000 x2
Pm 0.000 0.000 0.392 x2
Pm 0.000 0.500 0.203 x2
Zn 0.000 0.500 0.765 x2
Cd 0.000 0.000 0.557 x2
Cd 0.000 0.000 0.837 x2
Cd 0.000 0.500 0.635 x2

Computed properties:
uncorrected energy = -2.896 eV per atom
D(E_F) = 6.64 states/eV/f.u.
formation energy from the elements = -285 meV/atom

(15)
PmZnCd | PBE-GGA | relaxed

Lattice parameters (Å, degrees): 4.8609 4.8609 3.4410 90.00 90.00 120.00
Space group P-6m2 (No. 187)
Symmetry-distinct sites (fractional):
Pm 0.0000 0.0000 0.0000 x1
Zn 0.6667 0.3333 0.5000 x1
Cd 0.3333 0.6667 0.5000 x1

Computed properties:
uncorrected energy = -2.632 eV per atom
D(E_F) = 2.56 states/eV/f.u.
formation energy from the elements = -318 meV/atom

(16)
Pm4Zn2Cd | PBE-GGA | relaxed

Lattice parameters (Å, degrees): 5.2024 5.2024 24.8997 90.00 90.00 120.00
Space group R-3m (No. 166, hexagonal axes)
Symmetry-distinct sites (fractional):
Pm 0.0000 0.0000 0.1158 x6
Pm 0.0000 0.0000 0.3683 x6
Zn 0.0000 0.0000 0.2448 x6
Cd 0.0000 0.0000 0.5000 x3

Computed properties:
uncorrected energy = -3.383 eV per atom
D(E_F) = 10.00 states/eV/f.u.
formation energy from the elements = -174 meV/atom

(17)
Pm7Zn2Cd2 | PBE-GGA | relaxed

Lattice parameters (Å, degrees): 7.689 11.237 7.902 90.00 90.00 90.00
Space group Cmmm (No. 65)
Symmetry-distinct sites (fractional):
Pm 0.000 0.000 0.000 x2
Pm 0.000 0.500 0.242 x4
Pm 0.250 0.250 0.278 x8
Zn 0.000 0.288 0.000 x4
Cd 0.178 0.000 0.500 x4

Computed properties:
uncorrected energy = -3.421 eV per atom
D(E_F) = 14.24 states/eV/f.u.
formation energy from the elements = 1 meV/atom

(18)
Pm3ZnCd | PBE-GGA | relaxed

Lattice parameters (Å, degrees): 7.781 6.907 10.694 90.00 103.60 90.00
Space group P2_1/c (No. 14)
Symmetry-distinct sites (fractional):
Pm 0.125 0.137 0.410 x4
Pm 0.230 0.532 0.629 x4
Pm 0.324 0.021 0.735 x4
Zn 0.081 0.717 0.367 x4
Cd 0.456 0.714 0.971 x4

Computed properties:
uncorrected energy = -3.456 eV per atom
D(E_F) = 5.21 states/eV/f.u.
formation energy from the elements = -167 meV/atom

(19)
Pm4Zn3Cd2 | PBE-GGA | relaxed

Lattice parameters (Å, degrees): 10.314 5.012 9.105 90.00 106.99 90.00
Space group C2/m (No. 12)
Symmetry-distinct sites (fractional):
Pm 0.072 0.000 0.350 x4
Pm 0.140 0.500 0.899 x4
Zn 0.000 0.000 0.000 x2
Zn 0.126 0.500 0.556 x4
Cd 0.236 0.500 0.279 x4

Computed properties:
uncorrected energy = -3.004 eV per atom
D(E_F) = 9.65 states/eV/f.u.
formation energy from the elements = -265 meV/atom

(20)
Pm8ZnCd2 | PBE-GGA | relaxed

Lattice parameters (Å, degrees): 18.488 5.362 7.043 90.00 105.62 90.00
Space group C2/m (No. 12)
Symmetry-distinct sites (fractional):
Pm 0.018 0.000 0.271 x4
Pm 0.092 0.500 0.954 x4
Pm 0.160 0.500 0.467 x4
Pm 0.199 0.000 0.795 x4
Zn 0.000 0.500 0.500 x2
Cd 0.184 0.000 0.222 x4

Computed properties:
uncorrected energy = -3.857 eV per atom
D(E_F) = 11.89 states/eV/f.u.
formation energy from the elements = -120 meV/atom

(21)
Pm2Zn5Cd | PBE-GGA | relaxed

Lattice parameters (Å, degrees): 4.423 16.590 9.081 90.00 90.00 90.00
Space group Cmcm (No. 63)
Symmetry-distinct sites (fractional):
Pm 0.000 0.000 0.000 x4
Pm 0.000 0.206 0.250 x4
Zn 0.000 0.184 0.609 x8
Zn 0.000 0.345 0.519 x8
Zn 0.000 0.396 0.250 x4
Cd 0.000 0.445 0.750 x4

Computed properties:
uncorrected energy = -2.408 eV per atom
D(E_F) = 4.83 states/eV/f.u.
formation energy from the elements = -309 meV/atom